Entry 1:
Entry from Alexandria: a geometry-optimized BaCrH5 structure (PBE-GGA).

Computed properties:
crystal system	orthorhombic
DOS(E_F)	0.37	states/eV/f.u.
space-group type	Immm (71)

Unit cell a=3.7803 b=5.1022 c=5.1022 alpha=69.96 beta=68.26 gamma=68.26
Each line ends with the local moment (μB).
Fractional coordinates of all 7 atoms:
1 Ba 0.5000 0.5000 0.5000  0.02
2 H 0.5000 0.0000 0.0000  -0.04
3 H 0.1529 0.6291 0.0651  -0.02
4 H 0.8471 0.3709 0.9349  -0.02
5 H 0.8471 0.9349 0.3709  -0.02
6 H 0.1529 0.0651 0.6291  -0.02
7 Cr 0.0000 0.0000 0.0000  2.87

***

Entry 2:
Entry from Alexandria: a geometry-optimized BaCrH6 structure (PBE-GGA).

Computed properties:
crystal system	orthorhombic
DOS(E_F)	0.45	states/eV/f.u.
space-group type	Immm (71)

Unit cell a=3.8713 b=5.1920 c=5.1920 alpha=70.05 beta=111.92 gamma=111.92
Each line ends with the local moment (μB).
Fractional coordinates of all 8 atoms:
1 H 0.1506 0.3650 0.9365  -0.02
2 H 0.8494 0.6350 0.0635  -0.02
3 H 0.1506 0.9365 0.3650  -0.02
4 H 0.5621 0.0614 0.0614  -0.01
5 H 0.8494 0.0635 0.6350  -0.02
6 H 0.4379 0.9386 0.9386  -0.01
7 Cr 0.0000 0.0000 0.0000  2.81
8 Ba 0.5000 0.5000 0.5000  0.02

***

Entry 3:
Entry from Alexandria: a geometry-optimized BaCr2H structure (PBE-GGA).

Computed properties:
crystal system	cubic
DOS(E_F)	1.28	states/eV/f.u.
space-group type	Fd-3m (227)

Unit cell a=6.1833 b=6.1833 c=6.1808 alpha=59.99 beta=59.99 gamma=90.00
Each line ends with the local moment (μB).
Fractional coordinates of all 8 atoms:
1 Cr 0.3750 0.6250 0.2500  3.53
2 Cr 0.3750 0.6250 0.7500  3.55
3 Cr 0.8750 0.6250 0.7500  3.58
4 Cr 0.3750 0.1250 0.2500  3.50
5 H 0.5000 0.5000 0.0000  -0.04
6 H 0.2500 0.7500 0.5000  -0.04
7 Ba 0.7500 0.2500 0.5000  -0.01
8 Ba 0.0000 0.0000 0.0000  -0.01

***

Which VASP energy belongs to each record? In order, -29.3, -32.1, -44.2 eV/cell.
Which density belongs to each record? In order, 3.9, 3.7, 4.8 g/cm3.